# BaCo2AsO8 (GGA+U, optimized geometry)
# - DFT total energy: -5.762 eV/atom
# - Spin magnetization: 9.0 μB/f.u.
# - SG: P-3, No. 147
# - Crystal system: trigonal
data_BaCo2AsO8
_chemical_formula_sum 'Ba1 Co2 As1 O8'
_space_group_name_H-M_alt 'P 1'
_space_group_IT_number 1
_space_group_name_Hall 'P 1'
_cell_length_a 5.162
_cell_length_b 5.162
_cell_length_c 7.380
_cell_angle_alpha 90.00
_cell_angle_beta 90.00
_cell_angle_gamma 120.00
loop_
_atom_site_label
_atom_site_type_symbol
_atom_site_fract_x
_atom_site_fract_y
_atom_site_fract_z
Ba1 Ba 0.000 0.000 0.000
Co1 Co 0.667 0.333 0.291
Co2 Co 0.333 0.667 0.709
As1 As 0.000 0.000 0.500
O1 O 0.333 0.667 0.940
O2 O 0.301 0.271 0.349
O3 O 0.729 0.030 0.349
O4 O 0.667 0.333 0.060
O5 O 0.271 0.970 0.651
O6 O 0.699 0.729 0.651
O7 O 0.030 0.301 0.651
O8 O 0.970 0.699 0.349